A plane-wave DFT calculation with PBEsol was carried out for Zn2OsRh after structural relaxation.

Geometry as extended XYZ:
```
4
Lattice="-1.292 -1.862 1.345 2.192 -3.015 -2.069 3.559 0.331 3.288" Properties=species:S:1:pos:R:3 pbc="T T T"
Rh 2.876 -1.342 0.609
Os 0.450 -2.438 -0.362
Zn 0.601 -0.347 1.142
Zn 1.667 -1.184 3.490
```

Values from the calculation:
N(E_F) = 0.5496 states/eV per atom
total energy = -23.24 eV/cell
total magnetization = 0.0 μB/cell
energy relative to the elements = 0.071 eV/atom
theoretical density = 12.9 Mg/m³